## w
# ZnBI2N, optimized geometry, DFT PBE
# Total magnetization (Bohr magnetons per cell): 0.00
data_ZnBI2N
_symmetry_space_group_name_H-M 'P 4/m m m'
_symmetry_Int_Tables_number 123
_symmetry_space_group_name_Hall '-P 4 2'
_cell_length_a 7.5593
_cell_length_b 7.5593
_cell_length_c 2.7409
_cell_angle_alpha 90.00
_cell_angle_beta 90.00
_cell_angle_gamma 90.00
loop_
_atom_site_label
_atom_site_fract_x
_atom_site_fract_y
_atom_site_fract_z
Zn1 0.0000 0.0000 0.0000
B1 0.5000 0.5000 0.5000
I1 0.0000 0.5000 0.5000
N1 0.5000 0.5000 0.0000

***

## x
# ZnBI2N, optimized geometry, DFT PBE
# Total magnetization (Bohr magnetons per cell): 2.01
data_ZnBI2N
_symmetry_space_group_name_H-M 'P 4/m m m'
_symmetry_Int_Tables_number 123
_symmetry_space_group_name_Hall '-P 4 2'
_cell_length_a 5.7649
_cell_length_b 5.7649
_cell_length_c 3.8573
_cell_angle_alpha 90.00
_cell_angle_beta 90.00
_cell_angle_gamma 90.00
loop_
_atom_site_label
_atom_site_fract_x
_atom_site_fract_y
_atom_site_fract_z
Zn1 0.0000 0.0000 0.0000
B1 0.5000 0.5000 0.5000
I1 0.0000 0.5000 0.0000
N1 0.0000 0.0000 0.5000

***

Which structure is the most stable? The one labeled w.

***

## w
# Na3BI, optimized geometry, DFT PBE
# Total magnetization (Bohr magnetons per cell): 1.89
data_Na3BI
_symmetry_space_group_name_H-M 'P m -3 m'
_symmetry_Int_Tables_number 221
_symmetry_space_group_name_Hall '-P 4 2 3'
_cell_length_a 5.8755
_cell_length_b 5.8755
_cell_length_c 5.8755
_cell_angle_alpha 90.00
_cell_angle_beta 90.00
_cell_angle_gamma 90.00
loop_
_atom_site_label
_atom_site_fract_x
_atom_site_fract_y
_atom_site_fract_z
Na1 0.0000 0.0000 0.5000
B1 0.5000 0.5000 0.5000
I1 0.0000 0.0000 0.0000

***

## x
# Na3BI, optimized geometry, DFT PBE
# Total magnetization (Bohr magnetons per cell): 3.00
data_Na3BI
_symmetry_space_group_name_H-M 'P m -3 m'
_symmetry_Int_Tables_number 221
_symmetry_space_group_name_Hall '-P 4 2 3'
_cell_length_a 5.2686
_cell_length_b 5.2686
_cell_length_c 5.2686
_cell_angle_alpha 90.00
_cell_angle_beta 90.00
_cell_angle_gamma 90.00
loop_
_atom_site_label
_atom_site_fract_x
_atom_site_fract_y
_atom_site_fract_z
Na1 0.0000 0.0000 0.5000
B1 0.0000 0.0000 0.0000
I1 0.5000 0.5000 0.5000

***

Which structure is the most stable? The one labeled x.

***

## w
# NaBI2, optimized geometry, DFT PBE
# Total magnetization (Bohr magnetons per cell): 0.00
data_NaBI2
_symmetry_space_group_name_H-M 'I -4 2 d'
_symmetry_Int_Tables_number 122
_symmetry_space_group_name_Hall 'I -4 2bw'
_cell_length_a 6.5303
_cell_length_b 6.5303
_cell_length_c 14.2550
_cell_angle_alpha 90.00
_cell_angle_beta 90.00
_cell_angle_gamma 90.00
loop_
_atom_site_label
_atom_site_fract_x
_atom_site_fract_y
_atom_site_fract_z
Na1 0.0000 0.0000 0.0000
B1 0.0000 0.0000 0.5000
I1 0.1936 0.2500 0.6250

***

## x
# NaBI2, optimized geometry, DFT PBE
# Total magnetization (Bohr magnetons per cell): 0.00
data_NaBI2
_symmetry_space_group_name_H-M 'F m -3 m'
_symmetry_Int_Tables_number 225
_symmetry_space_group_name_Hall '-F 4 2 3'
_cell_length_a 7.7269
_cell_length_b 7.7269
_cell_length_c 7.7269
_cell_angle_alpha 90.00
_cell_angle_beta 90.00
_cell_angle_gamma 90.00
loop_
_atom_site_label
_atom_site_fract_x
_atom_site_fract_y
_atom_site_fract_z
Na1 0.0000 0.0000 0.0000
B1 0.0000 0.0000 0.5000
I1 0.2500 0.2500 0.2500

***

Which structure is the most stable? The one labeled w.

***

## w
# NaBI2O, optimized geometry, DFT PBE
# Total magnetization (Bohr magnetons per cell): 0.00
data_NaBI2O
_symmetry_space_group_name_H-M 'P 4/m m m'
_symmetry_Int_Tables_number 123
_symmetry_space_group_name_Hall '-P 4 2'
_cell_length_a 5.9055
_cell_length_b 5.9055
_cell_length_c 3.1300
_cell_angle_alpha 90.00
_cell_angle_beta 90.00
_cell_angle_gamma 90.00
loop_
_atom_site_label
_atom_site_fract_x
_atom_site_fract_y
_atom_site_fract_z
Na1 0.0000 0.0000 0.0000
B1 0.5000 0.5000 0.5000
I1 0.0000 0.5000 0.5000
O1 0.5000 0.5000 0.0000

***

## x
# NaBI2O, optimized geometry, DFT PBE
# Total magnetization (Bohr magnetons per cell): 2.00
data_NaBI2O
_symmetry_space_group_name_H-M 'P 4/m m m'
_symmetry_Int_Tables_number 123
_symmetry_space_group_name_Hall '-P 4 2'
_cell_length_a 5.9062
_cell_length_b 5.9062
_cell_length_c 4.2983
_cell_angle_alpha 90.00
_cell_angle_beta 90.00
_cell_angle_gamma 90.00
loop_
_atom_site_label
_atom_site_fract_x
_atom_site_fract_y
_atom_site_fract_z
Na1 0.0000 0.0000 0.0000
B1 0.5000 0.5000 0.5000
I1 0.0000 0.5000 0.0000
O1 0.0000 0.0000 0.5000

***

Which structure is the most stable? The one labeled w.

***

## w
# NaBIO2, optimized geometry, DFT PBE
# Total magnetization (Bohr magnetons per cell): 3.01
data_NaBIO2
_symmetry_space_group_name_H-M 'P 4/m m m'
_symmetry_Int_Tables_number 123
_symmetry_space_group_name_Hall '-P 4 2'
_cell_length_a 4.3210
_cell_length_b 4.3210
_cell_length_c 6.4633
_cell_angle_alpha 90.00
_cell_angle_beta 90.00
_cell_angle_gamma 90.00
loop_
_atom_site_label
_atom_site_fract_x
_atom_site_fract_y
_atom_site_fract_z
Na1 0.0000 0.0000 0.0000
B1 0.5000 0.5000 0.5000
I1 0.0000 0.0000 0.5000
O1 0.0000 0.5000 0.0000

***

## x
# NaBIO2, optimized geometry, DFT PBE
# Total magnetization (Bohr magnetons per cell): 0.01
data_NaBIO2
_symmetry_space_group_name_H-M 'P 4/m m m'
_symmetry_Int_Tables_number 123
_symmetry_space_group_name_Hall '-P 4 2'
_cell_length_a 3.6545
_cell_length_b 3.6545
_cell_length_c 5.3661
_cell_angle_alpha 90.00
_cell_angle_beta 90.00
_cell_angle_gamma 90.00
loop_
_atom_site_label
_atom_site_fract_x
_atom_site_fract_y
_atom_site_fract_z
Na1 0.0000 0.0000 0.0000
B1 0.5000 0.5000 0.5000
I1 0.5000 0.5000 0.0000
O1 0.0000 0.5000 0.5000

***

Which structure is the most stable? The one labeled x.

***

## w
# NaBSbI2, optimized geometry, DFT PBE
# Total magnetization (Bohr magnetons per cell): 2.77
data_NaBSbI2
_symmetry_space_group_name_H-M 'P 4/m m m'
_symmetry_Int_Tables_number 123
_symmetry_space_group_name_Hall '-P 4 2'
_cell_length_a 5.8685
_cell_length_b 5.8685
_cell_length_c 5.9328
_cell_angle_alpha 90.00
_cell_angle_beta 90.00
_cell_angle_gamma 90.00
loop_
_atom_site_label
_atom_site_fract_x
_atom_site_fract_y
_atom_site_fract_z
Na1 0.0000 0.0000 0.0000
B1 0.5000 0.5000 0.5000
Sb1 0.0000 0.0000 0.5000
I1 0.0000 0.5000 0.0000

***

## x
# NaBSbI2, optimized geometry, DFT PBE
# Total magnetization (Bohr magnetons per cell): 0.00
data_NaBSbI2
_symmetry_space_group_name_H-M 'P 4/m m m'
_symmetry_Int_Tables_number 123
_symmetry_space_group_name_Hall '-P 4 2'
_cell_length_a 5.8411
_cell_length_b 5.8411
_cell_length_c 4.4741
_cell_angle_alpha 90.00
_cell_angle_beta 90.00
_cell_angle_gamma 90.00
loop_
_atom_site_label
_atom_site_fract_x
_atom_site_fract_y
_atom_site_fract_z
Na1 0.0000 0.0000 0.0000
B1 0.5000 0.5000 0.5000
Sb1 0.5000 0.5000 0.0000
I1 0.0000 0.5000 0.5000

***

Which structure is the most stable? The one labeled x.

***

## w
# NaBTeI2, optimized geometry, DFT PBE
# Total magnetization (Bohr magnetons per cell): 0.00
data_NaBTeI2
_symmetry_space_group_name_H-M 'P 4/m m m'
_symmetry_Int_Tables_number 123
_symmetry_space_group_name_Hall '-P 4 2'
_cell_length_a 5.9511
_cell_length_b 5.9511
_cell_length_c 4.4538
_cell_angle_alpha 90.00
_cell_angle_beta 90.00
_cell_angle_gamma 90.00
loop_
_atom_site_label
_atom_site_fract_x
_atom_site_fract_y
_atom_site_fract_z
Na1 0.0000 0.0000 0.0000
B1 0.5000 0.5000 0.5000
Te1 0.5000 0.5000 0.0000
I1 0.0000 0.5000 0.5000

***

## x
# NaBTeI2, optimized geometry, DFT PBE
# Total magnetization (Bohr magnetons per cell): 1.93
data_NaBTeI2
_symmetry_space_group_name_H-M 'P 4/m m m'
_symmetry_Int_Tables_number 123
_symmetry_space_group_name_Hall '-P 4 2'
_cell_length_a 5.9133
_cell_length_b 5.9133
_cell_length_c 5.7879
_cell_angle_alpha 90.00
_cell_angle_beta 90.00
_cell_angle_gamma 90.00
loop_
_atom_site_label
_atom_site_fract_x
_atom_site_fract_y
_atom_site_fract_z
Na1 0.0000 0.0000 0.0000
B1 0.5000 0.5000 0.5000
Te1 0.0000 0.0000 0.5000
I1 0.0000 0.5000 0.0000

***

Which structure is the most stable? The one labeled w.

***

## w
# NbBIO2, optimized geometry, DFT PBE
# Total magnetization (Bohr magnetons per cell): 0.29
data_NbBIO2
_symmetry_space_group_name_H-M 'P 4/m m m'
_symmetry_Int_Tables_number 123
_symmetry_space_group_name_Hall '-P 4 2'
_cell_length_a 3.9374
_cell_length_b 3.9374
_cell_length_c 6.1220
_cell_angle_alpha 90.00
_cell_angle_beta 90.00
_cell_angle_gamma 90.00
loop_
_atom_site_label
_atom_site_fract_x
_atom_site_fract_y
_atom_site_fract_z
Nb1 0.0000 0.0000 0.0000
B1 0.5000 0.5000 0.5000
I1 0.0000 0.0000 0.5000
O1 0.0000 0.5000 0.0000

***

## x
# NbBIO2, optimized geometry, DFT PBE
# Total magnetization (Bohr magnetons per cell): 1.80
data_NbBIO2
_symmetry_space_group_name_H-M 'P 4/m m m'
_symmetry_Int_Tables_number 123
_symmetry_space_group_name_Hall '-P 4 2'
_cell_length_a 3.8685
_cell_length_b 3.8685
_cell_length_c 4.5123
_cell_angle_alpha 90.00
_cell_angle_beta 90.00
_cell_angle_gamma 90.00
loop_
_atom_site_label
_atom_site_fract_x
_atom_site_fract_y
_atom_site_fract_z
Nb1 0.0000 0.0000 0.0000
B1 0.5000 0.5000 0.5000
I1 0.5000 0.5000 0.0000
O1 0.0000 0.5000 0.5000

***

Which structure is the most stable? The one labeled w.